6
Lattice="2.999 0.000 0.000 0.000 2.999 0.000 0.000 0.000 10.076" Properties=species:S:1:pos:R:3 comment="ZrAl2Ir3 | the Alexandria database | GGA-PBE | optimized geometry" crystal_system=tetragonal total_magnetization_mub_per_cell=0.000 dft_energy_ha_per_atom=-0.2947 pbc="T T T"
Zr 0.000 0.000 0.000
Al 0.000 0.000 3.475
Al 0.000 0.000 6.602
Ir 1.500 1.500 1.963
Ir 1.500 1.500 5.038
Ir 1.500 1.500 8.113



3
Lattice="-1.694 2.151 4.911 1.694 -2.151 4.911 1.694 2.151 -4.911" Properties=species:S:1:pos:R:3 comment="MgAlPb | the Alexandria database | GGA-PBE | optimized geometry" crystal_system=orthorhombic total_magnetization_mub_per_cell=0.000 dft_energy_ha_per_atom=-0.1066 pbc="T T T"
Mg 0.000 0.000 0.000
Al 0.000 0.000 3.446
Pb 0.000 0.000 6.667



4
Lattice="3.869 0.000 0.000 0.000 3.873 0.000 -0.005 0.000 6.115" Properties=species:S:1:pos:R:3 comment="KPIr2 | the Alexandria database | GGA-PBE | optimized geometry" crystal_system=monoclinic total_magnetization_mub_per_cell=0.000 dft_energy_ha_per_atom=-0.2241 pbc="T T T"
K 0.000 0.000 0.000
P 1.938 1.936 1.950
Ir 0.003 1.936 3.189
Ir 1.937 0.000 3.186



4
Lattice="-2.007 5.442 2.988 2.007 -5.442 2.988 2.007 5.442 -2.988" Properties=species:S:1:pos:R:3 comment="La3Te | the Alexandria database | GGA-PBE | optimized geometry" crystal_system=orthorhombic total_magnetization_mub_per_cell=0.000 dft_energy_ha_per_atom=-0.1897 de_polymorph_mev_per_atom=81 formation_energy_uncorrected_kcal_per_mol_atoms=-15.72 pbc="T T T"
La 0.000 0.000 0.000
La 2.007 3.026 -0.865
La 0.000 2.416 2.123
Te 0.000 5.442 0.344



5
Lattice="-2.856 2.856 3.882 2.856 -2.856 3.882 2.856 2.856 -3.882" Properties=species:S:1:pos:R:3 comment="Y2ZnAg2 | the Alexandria database | GGA-PBE | optimized geometry" crystal_system=tetragonal total_magnetization_mub_per_cell=0.000 dft_energy_ha_per_atom=-0.1468 de_polymorph_mev_per_atom=224 pbc="T T T"
Y 2.856 0.000 1.941
Y 0.000 2.856 1.941
Zn 0.000 0.000 0.000
Ag 0.000 0.000 2.612
Ag 0.000 0.000 5.153



12
Lattice="2.691 -8.065 0.000 2.691 8.065 0.000 0.000 0.000 7.601" Properties=species:S:1:pos:R:3 comment="Tb5CeMg6 | the Alexandria database | GGA-PBE | optimized geometry" crystal_system=orthorhombic total_magnetization_mub_per_cell=1.070 dft_energy_ha_per_atom=-0.1205 pbc="T T T"
Tb 0.000 0.000 0.000
Tb 2.691 2.689 3.801
Tb 2.691 2.652 0.000
Tb 2.691 -2.652 0.000
Tb 2.691 -2.689 3.801
Ce 0.000 0.000 3.801
Mg 2.691 5.352 1.886
Mg 2.691 5.352 5.715
Mg 2.691 0.000 1.894
Mg 2.691 0.000 5.707
Mg 2.691 -5.352 1.886
Mg 2.691 -5.352 5.715



8
Lattice="4.411 0.000 0.000 -0.480 6.148 0.000 -1.973 -3.003 6.202" Properties=species:S:1:pos:R:3 comment="SrBiH2 | the Alexandria database | GGA-PBE | optimized geometry" crystal_system=triclinic total_magnetization_mub_per_cell=0.000 dft_energy_ha_per_atom=-0.1222 de_polymorph_mev_per_atom=0 pbc="T T T"
Sr -0.036 0.937 1.702
Sr 1.993 2.208 4.500
Bi -0.043 -0.942 5.020
Bi 2.001 4.088 1.182
H 0.194 4.621 0.773
H -0.201 2.391 3.584
H 2.159 0.755 2.618
H 1.764 -1.475 5.429



4
Lattice="0.000 3.024 3.024 3.024 0.000 3.024 3.024 3.024 0.000" Properties=species:S:1:pos:R:3 comment="LiZnReTc | the Alexandria database | GGA-PBE | optimized geometry" crystal_system=cubic total_magnetization_mub_per_cell=0.000 dft_energy_ha_per_atom=-0.2358 pbc="T T T"
Li 0.000 0.000 0.000
Zn 1.512 1.512 1.512
Re 3.024 3.024 3.024
Tc 4.536 4.536 4.536